A relaxed SrMg2Br crystal. Source: the Alexandria database, functional PBE.

- D(E_F) (states/eV per cell) = 3.1
- energy above the lowest structure with this stoichiometry (eV per atom) = 0.193
- calculated volume (Å³ per atom) = 30.9
- E_form (uncorrected) (meV/atom) = -368
- total magnetic moment (μB/cell) = 0.00
- VASP energy (eV per cell) = -8.0
- space group = No. 119

Unit cell a=6.110 b=6.110 c=6.110 alpha=131.94 beta=131.94 gamma=70.33
Atoms (fractional coordinates):
Br  0.750  0.250  0.500
Mg  0.250  0.750  0.500
Mg  0.000  0.000  0.000
Sr  0.500  0.500  0.000